[1]
# SrAs2

SrAs2 after structural relaxation (PBE, Alexandria).

Calculated values
E_form (eV/atom): -0.344
Density of states at the Fermi level (states/eV/atom): 0.7729
Space-group type: P6_3/mmc (194)

Cell lengths 5.2838, 5.2838, 6.2700 Å; angles 90.00, 90.00, 120.00 degrees
With the nearest neighbours (Å) after each atom.
Sites, in units of the cell vectors:
Sr 0.6667 0.3333 0.2500  5 As 3.05-3.14
Sr 0.3333 0.6667 0.7500  5 As 3.05-3.14
As 0.0000 0.0000 0.0000  8 As 3.14-3.43, 6 Sr 3.43
As 0.0000 0.0000 0.5000  8 As 3.14-3.43, 6 Sr 3.43
As 0.3333 0.6667 0.2500  5 Sr 3.05-3.14
As 0.6667 0.3333 0.7500  5 Sr 3.05-3.14

---

[2]
# Tb2Ni15Au2

Tb2Ni15Au2 after structural relaxation (PBE, Alexandria).

Calculated values
E_form (eV/atom): -0.181
Density of states at the Fermi level (states/eV/atom): 1.3101
Space-group type: R-3m (166)

Cell lengths 6.3692, 6.3692, 6.3692 Å; angles 83.38, 83.38, 83.38 degrees
With the nearest neighbours (Å) after each atom.
Sites, in units of the cell vectors:
Tb 0.3479 0.3479 0.3479  1 Au 2.92, 15 Ni 2.94-3.25
Tb 0.6521 0.6521 0.6521  1 Au 2.92, 15 Ni 2.94-3.25
Ni 0.5000 0.0000 0.0000  8 Ni 2.42-2.48, 2 Au 2.55
Ni 0.0000 0.0000 0.5000  8 Ni 2.42-2.48, 2 Au 2.55
Ni 0.0000 0.5000 0.0000  8 Ni 2.42-2.48, 2 Au 2.55
Ni 0.0000 0.6976 0.3024  8 Ni 2.42-2.56
Ni 0.6976 0.3024 0.0000  8 Ni 2.42-2.56
Ni 0.3024 0.0000 0.6976  8 Ni 2.42-2.56
Ni 0.3024 0.6976 0.0000  8 Ni 2.42-2.56
Ni 0.6976 0.0000 0.3024  8 Ni 2.42-2.56
Ni 0.0000 0.3024 0.6976  8 Ni 2.42-2.56
Ni 0.1625 0.6511 0.6511  8 Ni 2.41-2.55, 1 Au 2.64
Ni 0.6511 0.6511 0.1625  8 Ni 2.41-2.55, 1 Au 2.64
Ni 0.6511 0.1625 0.6511  8 Ni 2.41-2.55, 1 Au 2.64
Ni 0.8375 0.3489 0.3489  8 Ni 2.41-2.55, 1 Au 2.64
Ni 0.3489 0.3489 0.8375  8 Ni 2.41-2.55, 1 Au 2.64
Ni 0.3489 0.8375 0.3489  8 Ni 2.41-2.55, 1 Au 2.64
Au 0.1090 0.1090 0.1090  6 Ni 2.55-2.64, 1 Au 2.67
Au 0.8910 0.8910 0.8910  6 Ni 2.55-2.64, 1 Au 2.67

---

[3]
# NaNbTe2

NaNbTe2 after structural relaxation (PBE, Alexandria).

Calculated values
Space-group type: Pm (6)
Uncorrected formation energy (eV per atom): -0.607

Cell lengths 3.7995, 3.8034, 8.3184 Å; angles 90.00, 89.99, 60.09 degrees
With the nearest neighbours (Å) after each atom.
Sites, in units of the cell vectors:
Na 0.7364 0.8571 0.5503  6 Te 3.23-3.24
Nb 0.4040 0.5240 0.0503  6 Te 2.83
Te 0.0713 0.1898 0.8358  3 Nb 2.83
Te 0.0706 0.1901 0.2649  3 Nb 2.83

---

[4]
# ZnCdPt

ZnCdPt after structural relaxation (PBE, Alexandria).

Calculated values
E_form (eV/atom): -0.312
Density of states at the Fermi level (states/eV/atom): 0.2251
Space-group type: Imm2 (44)

Cell lengths 5.2300, 5.2300, 5.2300 Å; angles 147.70, 137.97, 53.98 degrees
With the nearest neighbours (Å) after each atom.
Sites, in units of the cell vectors:
Zn 0.6882 0.6882 0.0000  4 Pt 2.64, 5 Cd 2.89-2.96, 2 Zn 2.91
Pt 0.3131 0.3131 0.0000  4 Zn 2.64, 2 Pt 2.91, 5 Cd 2.93-2.94
Cd 0.9988 0.9988 0.0000  5 Zn 2.89-2.96, 2 Cd 2.91, 5 Pt 2.93-2.94

---

no.,size of the total moment (μB per atom),calculated volume (Å³/cell)
1,0.000,151.6
2,0.291,253.6
3,0.000,104.2
4,0.000,50.9